! PBE Hf2Ti7Al3, optimized geometry; values from VASP
&SYSTEM
  ibrav = 0, nat = 12, ntyp = 3
/
ATOMIC_SPECIES
Hf 178.49 Hf.upf
Ti 47.87 Ti.upf
Al 26.98 Al.upf
ATOMIC_POSITIONS crystal
Hf 0.500 0.710 0.290
Hf 0.500 0.290 0.710
Ti 0.500 0.744 0.459
Ti 0.500 0.256 0.541
Ti 0.000 0.691 0.135
Ti 0.000 0.000 0.000
Ti 0.000 0.309 0.865
Ti 0.500 0.803 0.823
Ti 0.500 0.197 0.177
Al 0.500 0.500 0.000
Al 0.000 0.228 0.382
Al 0.000 0.772 0.618
CELL_PARAMETERS angstrom
-2.433 1.479 0.329
-2.457 -3.740 -1.359
-0.522 -4.298 15.468
! Formation energy from the elements: -0.04 eV/atom
! E_tot: -86.8 eV for the cell shown


! PBE Hf2Ti2Al, optimized geometry; values from VASP
&SYSTEM
  ibrav = 0, nat = 10, ntyp = 3
/
ATOMIC_SPECIES
Hf 178.49 Hf.upf
Al 26.98 Al.upf
Ti 47.87 Ti.upf
ATOMIC_POSITIONS crystal
Hf 0.359 0.859 0.000
Hf 0.859 0.641 0.000
Hf 0.641 0.141 0.000
Hf 0.141 0.359 0.000
Al 0.000 0.000 0.000
Al 0.500 0.500 0.000
Ti 0.158 0.658 0.500
Ti 0.658 0.842 0.500
Ti 0.842 0.342 0.500
Ti 0.342 0.158 0.500
CELL_PARAMETERS angstrom
-4.543 5.414 1.820
-0.047 -2.361 6.905
2.903 2.179 0.765
! Excess energy over the best structure of this formula in the dataset: 186.4 meV per atom
! Formation energy from the elements: 0.12 eV/atom
! E_tot: -77.7 eV for the cell shown


! PBE Hf2TiAl, optimized geometry; values from VASP
&SYSTEM
  ibrav = 0, nat = 4, ntyp = 3
/
ATOMIC_SPECIES
Hf 178.49 Hf.upf
Al 26.98 Al.upf
Ti 47.87 Ti.upf
ATOMIC_POSITIONS crystal
Hf 0.000 0.000 0.750
Hf 0.000 0.000 0.250
Al 0.500 0.500 0.000
Ti 0.500 0.500 0.500
CELL_PARAMETERS angstrom
-3.041 1.155 0.088
-0.048 -0.372 3.233
2.614 6.819 0.823
! Formation energy from the elements: -0.15 eV/atom
! E_tot: -32.1 eV for the cell shown


Q: What is the formula in the first record?
A: Hf2Ti7Al3